RbVPdF6, optimized geometry, DFT PBE with a Hubbard U; crystal system = triclinic; density of states at the Fermi level = 0.38 states/eV/f.u.; calculated volume = 18.03 Å³/atom; magnetic moment = 0.217 μB per atom; VASP energy = -45.24 eV per formula unit
1.0
-5.630 0.442 2.476
-3.038 -4.880 1.124
1.738 -0.058 4.872
Rb V Pd F
1 1 1 6
direct
0.015 0.993 0.919 Rb
0.324 0.338 0.508 V
0.764 0.616 0.475 Pd
0.105 0.217 0.386 F
0.525 0.001 0.653 F
0.515 0.481 0.644 F
0.136 0.432 0.822 F
0.092 0.682 0.382 F
0.524 0.240 0.211 F